1.
{"formula": "Ce2Pu3N4", "functional": "PBE-GGA", "state": "optimized geometry", "cell": [[-2.031, -1.811, 2.200], [3.702, -3.087, 3.659], [0.254, 4.236, 6.505]], "species": ["Ce", "Ce", "Pu", "Pu", "Pu", "N", "N", "N", "N"], "frac_coords": [[0.599, 0.192, 0.610], [0.401, 0.808, 0.390], [0.000, 0.000, 0.000], [0.201, 0.400, 0.198], [0.799, 0.600, 0.802], [0.799, 0.100, 0.302], [0.201, 0.900, 0.698], [0.388, 0.310, 0.914], [0.612, 0.690, 0.086]]}

***

2.
{"formula": "La2DyEr3Te6", "functional": "PBE-GGA", "state": "optimized geometry", "cell": [[-1.621, 3.414, -2.199], [-0.018, -4.832, -7.489], [-7.872, -3.308, 5.013]], "species": ["La", "La", "Dy", "Er", "Er", "Er", "Te", "Te", "Te", "Te", "Te", "Te"], "frac_coords": [[0.833, 0.667, 0.666], [0.167, 0.333, 0.334], [0.500, 0.000, 0.000], [0.500, 0.500, 0.000], [0.829, 0.166, 0.657], [0.171, 0.834, 0.343], [0.335, 0.932, 0.670], [0.662, 0.594, 0.323], [0.665, 0.068, 0.330], [0.994, 0.249, 0.987], [0.006, 0.751, 0.013], [0.338, 0.406, 0.677]]}

***

3.
{"formula": "K2RbTl", "functional": "PBE-GGA", "state": "optimized geometry", "cell": [[4.288, 0.000, 0.000], [2.144, 3.714, 0.000], [2.144, 1.238, 15.470]], "species": ["Tl", "K", "K", "Rb"], "frac_coords": [[0.000, 0.000, 0.000], [0.077, 0.077, 0.770], [0.923, 0.923, 0.230], [0.500, 0.500, 0.500]], "ef_ev_per_atom": 0.17, "e_above_lowest_polymorph_mev_per_atom": 192.3}

***

4.
{"formula": "YLu2Ag", "functional": "PBE-GGA", "state": "optimized geometry", "cell": [[-1.685, 1.894, 4.030], [2.791, -2.845, 2.504], [3.405, 3.249, -0.104]], "species": ["Y", "Lu", "Lu", "Ag"], "frac_coords": [[0.500, 0.000, 0.000], [0.000, 0.000, 0.500], [0.000, 0.500, 0.000], [0.500, 0.500, 0.500]], "ef_ev_per_atom": 0.01, "e_above_lowest_polymorph_mev_per_atom": 152.7}

***

5.
{"formula": "IrRh2Br", "functional": "PBE-GGA", "state": "optimized geometry", "cell": [[4.734, 0.010, 0.000], [1.192, 4.581, 0.000], [-2.963, -2.296, 2.891]], "species": ["Ir", "Rh", "Rh", "Br"], "frac_coords": [[0.750, 0.250, 0.500], [0.000, 0.000, 0.000], [0.250, 0.750, 0.500], [0.500, 0.500, 0.000]], "e_above_lowest_polymorph_mev_per_atom": 472.6}

***

6.
{"formula": "Dy2AlCr", "functional": "PBE-GGA", "state": "optimized geometry", "cell": [[3.614, 0.000, 0.000], [0.000, 3.614, 0.000], [0.000, 0.000, 7.082]], "species": ["Cr", "Al", "Dy", "Dy"], "frac_coords": [[0.500, 0.500, 0.000], [0.500, 0.500, 0.500], [0.000, 0.000, 0.756], [0.000, 0.000, 0.244]], "ef_ev_per_atom": -0.01, "e_above_lowest_polymorph_mev_per_atom": 9.0}

***

7.
{"formula": "Li3Zr3PaSe8", "functional": "PBE-GGA", "state": "optimized geometry", "cell": [[7.637, -0.001, -0.001], [-3.820, 6.610, -0.025], [-0.001, -4.378, 6.667]], "species": ["Li", "Li", "Li", "Zr", "Zr", "Zr", "Pa", "Se", "Se", "Se", "Se", "Se", "Se", "Se", "Se"], "frac_coords": [[0.000, 0.000, 0.000], [0.000, 0.500, 0.000], [0.500, 0.500, 0.000], [0.500, 0.000, 0.500], [0.500, 0.500, 0.500], [0.000, 0.500, 0.500], [0.000, 0.000, 0.500], [0.250, 0.500, 0.250], [0.750, 0.500, 0.750], [0.743, 0.485, 0.245], [0.257, 0.515, 0.755], [0.743, 0.002, 0.245], [0.257, 0.998, 0.755], [0.260, 0.002, 0.245], [0.740, 0.998, 0.755]]}

***

no.,uncorrected energy (eV per atom),magnetization (μB per atom)
1,-10.906,0.59
2,-5.269,0.00
3,-1.208,0.00
4,-4.575,0.00
5,-5.459,0.00
6,-5.655,0.83
7,-5.912,0.10